A geometry-optimized Y4HgCl structure, computed with PBE-GGA.

Computed properties:
**SG**: F-43m
**Density**: 5.23 Mg/m³
**DFT total energy**: -4.40 eV/atom

abc: 6.429 6.429 6.429
angles: 60.00 60.00 60.00
Fractional positions:
Hg  0.000  0.000  0.000
Y  0.880  0.373  0.373
Y  0.373  0.373  0.373
Y  0.373  0.373  0.880
Cl  0.750  0.750  0.750
Y  0.373  0.880  0.373